No. 1
A relaxed structure of PuPd5Au4, computed with GGA-PBE.

Summary:
crystal system = orthorhombic
calculated total energy = -5.505 eV per atom
DOS at the Fermi energy = 43.25 states/eV per cell
energy of formation = -0.165 eV per atom

a = 4.7574 Å, b = 9.6881 Å, c = 8.1828 Å
α = 90.00°, β = 90.00°, γ = 90.00°
Site moments in Bohr magnetons follow the coordinates.
Positions (direct):
Au 0.9312 0.0000 0.2430  -0.02
Au 0.2425 0.3093 0.0000  -0.01
Au 0.7575 0.1907 0.5000  -0.01
Au 0.0688 0.5000 0.7430  -0.02
Au 0.7575 0.8093 0.5000  -0.01
Au 0.2425 0.6907 0.0000  -0.01
Au 0.0688 0.5000 0.2570  -0.02
Au 0.9312 0.0000 0.7570  -0.02
Pu 0.5676 0.5000 0.5000  5.15
Pu 0.4324 0.0000 0.0000  5.15
Pd 0.7449 0.2572 0.8319  -0.04
Pd 0.2551 0.7572 0.3319  -0.04
Pd 0.2551 0.2428 0.6681  -0.04
Pd 0.7449 0.7428 0.8319  -0.04
Pd 0.3182 0.0000 0.5000  -0.04
Pd 0.6818 0.5000 0.0000  -0.04
Pd 0.7449 0.7428 0.1681  -0.04
Pd 0.2551 0.2428 0.3319  -0.04
Pd 0.2551 0.7572 0.6681  -0.04
Pd 0.7449 0.2572 0.1681  -0.04



No. 2
A relaxed structure of PrSc2Fe, computed with GGA-PBE.

Summary:
crystal system = trigonal
energy above the lowest structure with this stoichiometry = 0.75 eV/f.u.
calculated total energy = -6.322 eV per atom
DOS at the Fermi energy = 4.44 states/eV per cell
energy of formation = 0.155 eV per atom

a = 3.3942 Å, b = 3.3942 Å, c = 9.6232 Å
α = 79.84°, β = 79.84°, γ = 60.00°
Site moments in Bohr magnetons follow the coordinates.
Positions (direct):
Sc 0.7267 0.7267 0.8200  -0.22
Sc 0.2733 0.2733 0.1800  -0.22
Pr 0.5000 0.5000 0.5000  0.08
Fe 0.0000 0.0000 0.0000  1.40



No. 3
A relaxed structure of MgSi2Au, computed with GGA-PBE.

Summary:
crystal system = tetragonal
calculated total energy = -3.838 eV per atom
DOS at the Fermi energy = 0.82 states/eV per cell

a = 3.1584 Å, b = 3.1584 Å, c = 6.9099 Å
α = 90.00°, β = 90.00°, γ = 90.00°
Positions (direct):
Si 0.0000 0.0000 0.0376
Si 0.5000 0.5000 0.2260
Au 0.0000 0.0000 0.4896
Mg 0.5000 0.5000 0.7468



No. 4
A relaxed structure of TaMo2Ir, computed with GGA-PBE.

Summary:
crystal system = monoclinic
energy above the lowest structure with this stoichiometry = 0.18 eV/f.u.
calculated total energy = -10.702 eV per atom
DOS at the Fermi energy = 3.75 states/eV per cell
energy of formation = -0.108 eV per atom

a = 5.2701 Å, b = 5.2418 Å, c = 2.7638 Å
α = 78.79°, β = 80.47°, γ = 116.51°
Positions (direct):
Mo 0.0000 0.5000 0.5000
Mo 0.0000 0.0000 0.0000
Ta 0.5000 0.5000 0.0000
Ir 0.5000 0.0000 0.5000



Question: Among the records above, which one has the lowest DOS at the Fermi energy?
Answer: MgSi2Au



Question: The lowest DOS at the Fermi energy belongs to which entry?
Answer: MgSi2Au



Question: Which value of calculated total energy does entry 4 give?
Answer: -10.702 eV per atom